Density functional theory data (PBE) for an optimized crystal structure of Si2BAu2.

abc: 7.6946 7.6946 7.6946
angles: 154.90 154.90 35.79
Closest atoms and distances in Å follow each position.
Atoms (fractional coordinates):
Au  0.5923  0.5923  0.0000  1 Au 2.70, 4 B 2.72, 4 Si 2.85
B  0.0000  0.0000  0.0000  8 Au 2.72
Si  0.7500  0.2500  0.5000  4 Si 2.36
Au  0.4077  0.4077  0.0000  1 Au 2.70, 4 B 2.72, 4 Si 2.85
Si  0.2500  0.7500  0.5000  4 Si 2.36

Output
Polymorph energy (0 for the lowest one) in meV/atom: 0